No. 1
Material: Sr2CrPb
Method: DFT, PBE-GGA
State: optimized geometry

Its formation energy is 0.31 eV per atom. Its space group is C2/m (12).

Unit cell a=5.5625 b=5.5625 c=7.1726 alpha=79.45 beta=79.45 gamma=41.50
Last column: nearest neighbours and their distance in Å.
Positions (direct):
Sr 0.9993 0.9993 0.0016  3 Pb 3.43-3.46, 3 Cr 3.44-3.48
Sr 0.5007 0.5007 0.4984  3 Pb 3.43-3.46, 3 Cr 3.44-3.48
Pb 0.2500 0.2500 0.2500  6 Sr 3.43-3.46
Cr 0.7500 0.7500 0.7500  6 Sr 3.44-3.48

No. 2
Material: Ce2Pm3ScP6
Method: DFT, PBE-GGA
State: optimized geometry

Its formation energy is -1.51 eV per atom. Its space group is C2/m (12).

Unit cell a=4.0615 b=8.1154 c=9.0667 alpha=103.12 beta=102.94 gamma=90.00
Last column: nearest neighbours and their distance in Å.
Positions (direct):
P 0.3392 0.9160 0.6784  1 Sc 2.76, 2 Ce 2.83, 3 Pm 2.88-2.96
P 0.9994 0.7644 0.9987  2 Sc 2.79, 1 Ce 2.81, 3 Pm 2.88-2.96
P 0.3316 0.4201 0.6632  3 Ce 2.86-2.88, 3 Pm 2.89-2.91
P 0.6608 0.0840 0.3216  1 Sc 2.76, 2 Ce 2.83, 3 Pm 2.88-2.96
P 0.0006 0.2356 0.0013  2 Sc 2.79, 1 Ce 2.81, 3 Pm 2.88-2.96
P 0.6684 0.5799 0.3368  3 Ce 2.86-2.88, 3 Pm 2.89-2.91
Ce 0.8358 0.6707 0.6716  6 P 2.81-2.88
Ce 0.1642 0.3293 0.3284  6 P 2.81-2.88
Pm 0.8333 0.1649 0.6666  6 P 2.88-2.96
Pm 0.5000 0.5000 0.0000  6 P 2.89-2.96
Pm 0.1667 0.8351 0.3334  6 P 2.88-2.96
Sc 0.5000 0.0000 0.0000  6 P 2.76-2.79

No. 3
Material: Na2Sn8Pd
Method: DFT, PBE-GGA
State: optimized geometry

Its formation energy is -0.16 eV per atom. Its space group is P4/mmm (123).

Unit cell a=4.7261 b=4.7261 c=12.7594 alpha=90.00 beta=90.00 gamma=90.00
Last column: nearest neighbours and their distance in Å.
Positions (direct):
Sn 0.5000 0.5000 0.6957  8 Sn 3.28-3.44, 4 Na 3.34
Sn 0.0000 0.5000 0.8744  2 Pd 2.86
Sn 0.5000 0.0000 0.8744  2 Pd 2.86
Sn 0.5000 0.0000 0.1256  2 Pd 2.86
Sn 0.0000 0.5000 0.1256  2 Pd 2.86
Sn 0.5000 0.0000 0.5000  8 Sn 3.34-3.44, 4 Na 3.37
Sn 0.0000 0.5000 0.5000  8 Sn 3.34-3.44, 4 Na 3.37
Sn 0.5000 0.5000 0.3043  8 Sn 3.28-3.44, 4 Na 3.34
Na 0.0000 0.0000 0.6879  12 Sn 3.34-3.37
Na 0.0000 0.0000 0.3121  12 Sn 3.34-3.37
Pd 0.0000 0.0000 0.0000  8 Sn 2.86

No. 4
Material: MgCr2Te
Method: DFT, PBE-GGA
State: optimized geometry

The relative energy among the computed polymorphs is 47 kJ/mol of formula units. Its space group is F-43m (216). The formation energy without anion corrections is 150 kJ/mol of formula units.

Unit cell a=4.7512 b=4.7512 c=4.7512 alpha=60.00 beta=60.00 gamma=60.00
Last column: nearest neighbours and their distance in Å.
Positions (direct):
Cr 0.0000 0.0000 0.0000  4 Te 2.91, 4 Cr 2.91
Cr 0.2500 0.2500 0.2500  4 Cr 2.91, 4 Mg 2.91
Mg 0.5000 0.5000 0.5000  4 Te 2.91, 4 Cr 2.91
Te 0.7500 0.7500 0.7500  4 Cr 2.91, 4 Mg 2.91